HfMnAl2O6 | PBE with a Hubbard U | optimized geometry

Results
Space-group type: R3, No. 146
Uncorrected energy: -8.297 eV/atom
Size of the total moment: 5.0 μB/f.u.
Density of states at the Fermi level: 0.000 states/eV/f.u.

The structure in POSCAR format:
```
HfMnAl2O6
1.0
-0.117 -1.258 -4.979
4.377 -0.339 -2.667
1.746 -4.860 -1.463
O Hf Al Mn
6 1 2 1
Cartesian
4.474 -4.307 -4.849 O
2.859 -3.928 -2.851 O
1.415 -2.009 -4.190 O
4.227 -1.730 -3.923 O
1.913 -4.583 -5.179 O
3.103 -2.444 -6.430 O
1.449 -0.921 -2.452 Hf
2.986 -3.004 -4.611 Al
1.729 -4.631 -1.521 Al
4.461 -4.259 -6.979 Mn
```